## KVO2 (PBE with a Hubbard U)

Data for a geometry-optimized KVO2 structure.

Output
**Magnetic moment**: 0.500 μB per atom
**Total DFT energy (no corrections)**: -6.43 eV per atom
**V**: 538.84 Å³/cell

Cell lengths 8.245, 8.269, 7.903 Å; angles 90.00, 90.00, 90.00 degrees
Space group Fdd2 (No. 43)
One atom of each set of equivalent atoms:
1 K 0.000 0.000 0.000 (multiplicity 8)
2 V 0.000 0.000 0.499 (multiplicity 8)
3 O 0.056 0.194 0.623 (multiplicity 16)